# 1
Below is an optimized crystal structure of Ca3As3Ir2, with properties calculated at the PBE-GGA level.

Values from the calculation:
energy of formation	-824.3	meV per atom
volume	21.15	Å³/atom

Lattice parameters (Å, degrees): 4.346 10.788 14.438 90.00 90.00 90.00
Space group Cmcm (No. 63)
Unique sites:
Ca 0.000 0.083 0.110 x8
Ca 0.000 0.364 0.250 x4
As 0.000 0.332 0.750 x4
As 0.000 0.362 0.035 x8
Ir 0.000 0.203 0.601 x8


# 2
Below is an optimized crystal structure of Ca2AsIr, with properties calculated at the PBE-GGA level.

Values from the calculation:
energy of formation	-280.8	meV per atom
volume	24.83	Å³/atom

Lattice parameters (Å, degrees): 3.468 3.468 8.256 90.00 90.00 90.00
Space group P4mm (No. 99)
Unique sites:
Ca 0.000 0.000 0.000 x1
Ca 0.500 0.500 0.391 x1
As 0.500 0.500 0.750 x1
Ir 0.000 0.000 0.643 x1


# 3
Below is an optimized crystal structure of CaAsIr2, with properties calculated at the PBE-GGA level.

Values from the calculation:
energy of formation	-172.6	meV per atom
volume	18.01	Å³/atom

Lattice parameters (Å, degrees): 4.311 2.920 11.444 90.00 90.00 90.00
Space group Amm2 (No. 38)
Unique sites:
Ca 0.000 0.000 0.000 x2
As 0.500 0.000 0.356 x2
Ir 0.000 0.000 0.246 x2
Ir 0.500 0.000 0.665 x2


# 4
Below is an optimized crystal structure of CaAsIr2, with properties calculated at the PBE-GGA level.

Values from the calculation:
energy of formation	-66.0	meV per atom
volume	17.37	Å³/atom

Lattice parameters (Å, degrees): 9.114 2.962 5.200 90.00 98.10 90.00
Space group C2/m (No. 12)
Unique sites:
Ca 0.000 0.000 0.000 x2
As 0.000 0.500 0.500 x2
Ir 0.246 0.000 0.712 x4


# 5
Below is an optimized crystal structure of Ca2AsIr, with properties calculated at the PBE-GGA level.

Values from the calculation:
energy of formation	-471.6	meV per atom
volume	21.10	Å³/atom

Lattice parameters (Å, degrees): 6.468 7.960 3.279 90.00 90.00 90.00
Space group Cmmm (No. 65)
Unique sites:
Ca 0.250 0.250 0.000 x4
As 0.000 0.000 0.500 x2
Ir 0.000 0.500 0.500 x2


# 6
Below is an optimized crystal structure of CaAs3Ir, with properties calculated at the PBE-GGA level.

Values from the calculation:
excess energy over the best structure of this formula in the dataset	1552	meV per atom
energy of formation	1614.9	meV per atom
volume	26.82	Å³/atom

Lattice parameters (Å, degrees): 5.118 5.118 5.118 90.00 90.00 90.00
Space group Pm-3m (No. 221)
Unique sites:
Ca 0.000 0.000 0.000 x1
As 0.000 0.000 0.500 x3
Ir 0.500 0.500 0.500 x1